Record 1
Entry from Alexandria: a crystal of LaIr2Pb relaxed with PBEsol (SCAN).

The structure in POSCAR format:
```
LaIr2Pb
1.0
2.332 1.346 4.737
-2.332 1.346 4.737
0.000 -2.692 4.737
La Ir Pb
1 2 1
direct
0.000 0.000 0.000
0.201 0.201 0.201
0.799 0.799 0.799
0.500 0.500 0.500
```

Computed properties:
As for the space group: R-3m. The volume is 89 Å³/cell. The energy relative to the elements comes out at -0.20 eV/atom.

=====

Record 2
Entry from Alexandria: a crystal of La2IrPb relaxed with PBEsol (SCAN).

The structure in POSCAR format:
```
La2IrPb
1.0
2.031 1.173 8.351
-2.031 1.173 8.351
0.000 -2.346 8.351
La Ir Pb
2 1 1
direct
0.232 0.232 0.232
0.768 0.768 0.768
0.500 0.500 0.500
0.000 0.000 0.000
```

Computed properties:
As for the space group: R-3m. The volume is 119 Å³/cell. The energy relative to the elements comes out at -0.77 eV/atom.

=====

Record 3
Entry from Alexandria: a crystal of LaIrPb2 relaxed with PBEsol (SCAN).

The structure in POSCAR format:
```
LaIrPb2
1.0
3.806 0.000 0.000
0.000 2.168 6.370
0.000 -2.168 6.370
La Ir Pb
1 1 2
direct
0.000 0.000 0.000
0.500 0.543 0.543
0.000 0.714 0.714
0.500 0.325 0.325
```

Computed properties:
As for the space group: Amm2. The volume is 105 Å³/cell. The energy relative to the elements comes out at -0.42 eV/atom.

=====

Record 4
Entry from Alexandria: a crystal of LaIrPb2 relaxed with PBEsol (SCAN).

The structure in POSCAR format:
```
LaIrPb2
1.0
0.000 3.595 3.595
3.595 0.000 3.595
3.595 3.595 0.000
La Ir Pb
1 1 2
direct
0.000 0.000 0.000
0.500 0.500 0.500
0.250 0.250 0.250
0.750 0.750 0.750
```

Computed properties:
As for the space group: Fm-3m. The volume is 93 Å³/cell. The energy relative to the elements comes out at -0.13 eV/atom.

=====

Record 5
Entry from Alexandria: a crystal of LaIrPb3 relaxed with PBEsol (SCAN).

The structure in POSCAR format:
```
LaIrPb3
1.0
5.836 0.000 0.000
0.000 5.836 0.000
0.000 0.000 5.836
La Ir Pb
1 1 3
direct
0.000 0.000 0.000
0.500 0.500 0.500
0.000 0.000 0.500
0.000 0.500 0.000
0.500 0.000 0.000
```

Computed properties:
As for the space group: Pm-3m. The volume is 199 Å³/cell. The energy relative to the elements comes out at 1.67 eV/atom.

=====

Record 6
Entry from Alexandria: a crystal of LaIrPb2 relaxed with PBEsol (SCAN).

The structure in POSCAR format:
```
LaIrPb2
1.0
1.997 1.153 8.215
-1.997 1.153 8.215
0.000 -2.306 8.215
La Ir Pb
1 1 2
direct
0.000 0.000 0.000
0.271 0.271 0.271
0.540 0.540 0.540
0.776 0.776 0.776
```

Computed properties:
As for the space group: R3m. The volume is 113 Å³/cell. The energy relative to the elements comes out at -0.18 eV/atom.

=====

> Which formula does entry 3 have?

LaIrPb2

=====

> Among the records above, which one has the lowest energy relative to the elements?

La2IrPb

=====

> What is the energy relative to the elements in the sixth record?

-0.18 eV/atom